[1]
Crystalline CaY2Au at its relaxed geometry. Source: Alexandria, functional PBE.

```
CaY2Au
1.0
3.625 0.000 0.000
0.000 3.631 0.007
0.000 3.614 9.019
Y Ca Au
2 1 1
Direct
0.000 0.978 0.022
0.500 0.201 0.299
0.500 0.805 0.695
0.000 0.516 0.483
```

The relative energy among the computed polymorphs comes out at 22 meV per atom. The crystal system is tetragonal.

=====

[2]
Crystalline Ca4YAu5 at its relaxed geometry. Source: Alexandria, functional PBE.

```
Ca4YAu5
1.0
3.650 0.000 0.000
0.000 3.650 0.000
0.000 0.000 18.027
Ca Y Au
4 1 5
Direct
0.000 0.000 0.200
0.000 0.000 0.400
0.000 0.000 0.600
0.000 0.000 0.800
0.000 0.000 0.000
0.500 0.500 0.092
0.500 0.500 0.300
0.500 0.500 0.500
0.500 0.500 0.700
0.500 0.500 0.908
```

The crystal system is tetragonal.

=====

[3]
Crystalline CaY2Au2 at its relaxed geometry. Source: Alexandria, functional PBE.

```
CaY2Au2
1.0
-0.376 8.253 0.359
-6.088 -0.520 5.571
2.586 -0.005 2.826
Y Ca Au
4 2 4
Direct
0.155 0.655 0.500
0.655 0.845 0.500
0.845 0.345 0.500
0.345 0.155 0.500
0.000 0.000 0.000
0.500 0.500 0.000
0.362 0.862 0.000
0.862 0.638 0.000
0.638 0.138 0.000
0.138 0.362 0.000
```

The relative energy among the computed polymorphs comes out at 0 meV per atom. The crystal system is tetragonal.

=====

[4]
Crystalline CaY2Au at its relaxed geometry. Source: Alexandria, functional PBE.

```
CaY2Au
1.0
-3.326 3.866 2.829
-1.659 -6.115 0.845
1.197 -0.680 3.235
Y Ca Au
2 1 1
Direct
0.000 0.000 0.000
0.500 0.000 0.500
0.500 0.500 0.000
0.000 0.500 0.500
```

The relative energy among the computed polymorphs comes out at 312 meV per atom. The crystal system is monoclinic.

=====

[5]
Crystalline CaY2Au3 at its relaxed geometry. Source: Alexandria, functional PBE.

```
CaY2Au3
1.0
3.628 0.000 0.000
0.000 4.806 -1.591
0.000 0.027 8.134
Ca Y Au
1 2 3
Direct
0.000 0.000 0.000
0.000 0.336 0.673
0.000 0.664 0.327
0.500 0.500 0.000
0.500 0.822 0.644
0.500 0.178 0.356
```

The relative energy among the computed polymorphs comes out at 2 meV per atom. The crystal system is orthorhombic.

=====

[6]
Crystalline CaY2Au at its relaxed geometry. Source: Alexandria, functional PBE.

```
CaY2Au
1.0
-4.015 -2.234 2.795
0.867 -4.487 2.834
0.039 0.180 5.375
Y Ca Au
2 1 1
Direct
0.000 0.000 0.000
0.250 0.250 0.250
0.750 0.750 0.750
0.500 0.500 0.500
```

The relative energy among the computed polymorphs comes out at 328 meV per atom. The crystal system is cubic.

=====

E (computed, eV/atom): -4.928 -3.891 -5.001 -4.638 -4.968 -4.622
Energy of formation from the pure elements (computed, eV/atom): -0.3766 -0.8052 -0.7038 -0.0862 -0.8413 -0.0705